! PBE DyPHRu2, relaxed; values from VASP
! total magnetization = 0.0 μB per cell
! space group = Cmcm
! density of states at the Fermi level = 8.78 states/eV per cell
! total energy = -7.00 eV per atom
&SYSTEM
  ibrav = 0, nat = 10, ntyp = 4
/
ATOMIC_SPECIES
Dy 162.50 Dy.upf
P 30.97 P.upf
H 1.01 H.upf
Ru 101.07 Ru.upf
CELL_PARAMETERS angstrom
1.810 -5.300 0.000
1.810 5.300 0.000
0.000 0.000 7.231
ATOMIC_POSITIONS crystal
Dy 0.053 0.947 0.750
Dy 0.947 0.053 0.250
P 0.228 0.772 0.250
P 0.772 0.228 0.750
H 0.500 0.500 0.000
H 0.500 0.500 0.500
Ru 0.340 0.660 0.557
Ru 0.340 0.660 0.943
Ru 0.660 0.340 0.057
Ru 0.660 0.340 0.443